The following is a GGA-PBE calculation of NdDyPuCd after structural relaxation, from the Alexandria database.

Values from the calculation:
The total energy is -24.3 eV/cell. The calculated formation energy is 73 meV per atom. The total magnetic moment comes out at 6.5 μB per cell.

Cell: 5.4655 5.4655 5.4655 Å, 60.00 60.00 60.00°
Each line ends with the local moment (μB).
Sites, in units of the cell vectors:
Cd: 0.7500 0.7500 0.7500  -0.02
Dy: 0.5000 0.5000 0.5000  0.25
Nd: 0.0000 0.0000 0.0000  0.15
Pu: 0.2500 0.2500 0.2500  5.64



The following is a GGA-PBE calculation of Mg2AuF after structural relaxation, from the Alexandria database.

Values from the calculation:
The total energy is -12.5 eV/cell. The energy relative to the elements, uncorrected is -1.040 eV/atom. The value obtained for the energy relative to the lowest polymorph listed for this composition is 327 meV/atom. The total magnetic moment comes out at 0.0 μB per cell.

Cell: 4.5976 4.5976 4.5976 Å, 60.00 60.00 60.00°
Sites, in units of the cell vectors:
Mg: 0.2500 0.2500 0.2500
Mg: 0.7500 0.7500 0.7500
Au: 0.5000 0.5000 0.5000
F: 0.0000 0.0000 0.0000



The following is a GGA-PBE calculation of TcIr7 after structural relaxation, from the Alexandria database.

Values from the calculation:
The total energy is -72.9 eV/cell. The calculated formation energy is -65 meV per atom. The total magnetic moment comes out at 0.0 μB per cell.

Cell: 5.4720 5.4720 5.4720 Å, 60.00 60.00 60.00°
Sites, in units of the cell vectors:
Ir: 0.0000 0.5000 0.0000
Ir: 0.0000 0.5000 0.5000
Ir: 0.5000 0.5000 0.0000
Ir: 0.5000 0.0000 0.5000
Ir: 0.5000 0.0000 0.0000
Ir: 0.0000 0.0000 0.5000
Ir: 0.5000 0.5000 0.5000
Tc: 0.0000 0.0000 0.0000



The following is a GGA-PBE calculation of CuSn2Bi after structural relaxation, from the Alexandria database.

Values from the calculation:
The total energy is -15.5 eV/cell. The calculated formation energy is 118 meV per atom. The total magnetic moment comes out at 0.0 μB per cell.

Cell: 3.4419 3.4419 10.3173 Å, 80.40 80.40 60.00°
Sites, in units of the cell vectors:
Bi: 0.0000 0.0000 0.0000
Cu: 0.5000 0.5000 0.5000
Sn: 0.1051 0.1051 0.6848
Sn: 0.8949 0.8949 0.3152



The following is a GGA-PBE calculation of La2TbPm2Y4 after structural relaxation, from the Alexandria database.

Values from the calculation:
The total energy is -49.8 eV/cell. The calculated formation energy is 0 meV per atom. The total magnetic moment comes out at 0.0 μB per cell.

Cell: 3.6616 9.6598 9.7165 Å, 115.21 90.00 100.93°
Sites, in units of the cell vectors:
La: 0.3351 0.6701 0.0010
La: 0.6649 0.3299 0.9990
Tb: 0.0000 0.0000 0.0000
Pm: 0.8525 0.7050 0.3362
Pm: 0.1475 0.2950 0.6638
Y: 0.8148 0.6296 0.6635
Y: 0.1852 0.3704 0.3365
Y: 0.5201 0.0403 0.3339
Y: 0.4799 0.9597 0.6661



The following is a GGA-PBE calculation of NdSbPt after structural relaxation, from the Alexandria database.

Values from the calculation:
The total energy is -36.6 eV/cell. The energy relative to the elements, uncorrected is -1.121 eV/atom. The total magnetic moment comes out at 0.0 μB per cell.

Cell: 4.5890 4.5890 8.0536 Å, 90.00 90.00 120.00°
Sites, in units of the cell vectors:
Nd: 0.0000 0.0000 0.4960
Nd: 0.0000 0.0000 0.9960
Sb: 0.6667 0.3333 0.2338
Sb: 0.3333 0.6667 0.7338
Pt: 0.3333 0.6667 0.2941
Pt: 0.6667 0.3333 0.7941



The following is a GGA-PBE calculation of TiCr2Tc2 after structural relaxation, from the Alexandria database.

Values from the calculation:
The total energy is -46.5 eV/cell. The calculated formation energy is 284 meV per atom. The value obtained for the energy relative to the lowest polymorph listed for this composition is 144 meV/atom. The total magnetic moment comes out at 0.0 μB per cell.

Cell: 4.0615 4.0615 5.5088 Å, 68.37 68.37 90.00°
Sites, in units of the cell vectors:
Cr: 0.3827 0.3827 0.2346
Cr: 0.6173 0.6173 0.7654
Tc: 0.7500 0.2500 0.5000
Tc: 0.2500 0.7500 0.5000
Ti: 0.0000 0.0000 0.0000



The following is a GGA-PBE calculation of TbDyHoEr after structural relaxation, from the Alexandria database.

Values from the calculation:
The total energy is -17.8 eV/cell. The calculated formation energy is 142 meV per atom. The value obtained for the energy relative to the lowest polymorph listed for this composition is 123 meV/atom. The total magnetic moment comes out at 0.0 μB per cell.

Cell: 5.6286 5.6286 5.6286 Å, 60.00 60.00 60.00°
Sites, in units of the cell vectors:
Er: 0.2500 0.2500 0.2500
Tb: 0.0000 0.0000 0.0000
Ho: 0.7500 0.7500 0.7500
Dy: 0.5000 0.5000 0.5000